The following is a PBE calculation of TaSiNi2 after structural relaxation, from Alexandria.

Cell: 3.850 5.160 5.160 Å, 30.81 90.00 90.00°
Atoms (fractional coordinates):
Ta  0.000  0.000  0.000
Si  0.500  0.367  0.367
Ni  0.000  0.252  0.252
Ni  0.500  0.642  0.642

Summary:
Crystal system: orthorhombic
Formation energy (no corrections) (eV/atom): -0.332
Fermi-level density of states (states/eV per cell): 3.4

The following is a PBE calculation of Mn2CdCo after structural relaxation, from Alexandria.

Cell: 8.826 8.826 8.826 Å, 18.50 18.50 18.50°
Atoms (fractional coordinates):
Mn  0.239  0.239  0.239
Mn  0.761  0.761  0.761
Cd  0.000  0.000  0.000
Co  0.500  0.500  0.500

Summary:
Crystal system: trigonal
Fermi-level density of states (states/eV per cell): 2.3

The following is a PBE calculation of KCaCd after structural relaxation, from Alexandria.

Cell: 8.034 8.034 8.034 Å, 151.24 151.24 41.13°
Atoms (fractional coordinates):
K  0.000  0.000  0.000
Ca  0.274  0.274  0.000
Cd  0.664  0.664  0.000

Summary:
Crystal system: tetragonal
Fermi-level density of states (states/eV per cell): 3.4

The following is a PBE calculation of LiNdTlRu after structural relaxation, from Alexandria.

Cell: 4.875 4.875 4.875 Å, 60.00 60.00 60.00°
Atoms (fractional coordinates):
Li  0.000  0.000  0.000
Nd  0.250  0.250  0.250
Tl  0.750  0.750  0.750
Ru  0.500  0.500  0.500

Summary:
Crystal system: cubic
Fermi-level density of states (states/eV per cell): 2.5

The following is a PBE calculation of Ce2Y3HoSe6 after structural relaxation, from Alexandria.

Cell: 7.120 7.120 7.170 Å, 99.54 99.54 120.09°
Atoms (fractional coordinates):
Ce  0.166  0.834  0.000
Ce  0.834  0.166  0.000
Y  0.000  0.000  0.500
Y  0.332  0.668  0.500
Y  0.668  0.332  0.500
Ho  0.500  0.500  0.000
Se  0.088  0.415  0.744
Se  0.259  0.259  0.257
Se  0.415  0.088  0.744
Se  0.585  0.912  0.256
Se  0.741  0.741  0.743
Se  0.912  0.585  0.256

Summary:
Crystal system: monoclinic
Formation energy (no corrections) (eV/atom): -1.784
Fermi-level density of states (states/eV per cell): 14.5

The following is a PBE calculation of CeNd2Rh3 after structural relaxation, from Alexandria.

Cell: 7.052 7.052 7.886 Å, 105.24 105.24 48.99°
Atoms (fractional coordinates):
Ce  0.061  0.939  0.750
Ce  0.939  0.061  0.250
Nd  0.295  0.366  0.925
Nd  0.366  0.295  0.425
Nd  0.634  0.705  0.575
Nd  0.705  0.634  0.075
Rh  0.106  0.190  0.598
Rh  0.190  0.106  0.098
Rh  0.420  0.580  0.250
Rh  0.580  0.420  0.750
Rh  0.810  0.894  0.902
Rh  0.894  0.810  0.402

Summary:
Crystal system: monoclinic
Fermi-level density of states (states/eV per cell): 7.7

no.,energy (Ha/atom)
1,-0.27715
2,-0.23064
3,-0.05113
4,-0.17063
5,-0.23933
6,-0.25189